# CaPuTh | Alexandria | PBE | optimized geometry
data_CaPuTh
_chemical_formula_sum 'Ca4 Pu4 Th4'
_symmetry_space_group_name_H-M 'C 1 2/m 1'
_symmetry_Int_Tables_number 12
_cell_length_a 6.4309
_cell_length_b 3.5652
_cell_length_c 15.7716
_cell_angle_alpha 90.00
_cell_angle_beta 94.79
_cell_angle_gamma 90.00
loop_
_symmetry_equiv_pos_as_xyz
'x,y,z'
'-x,-y,-z'
'-x,y,-z'
'x,-y,z'
'x+1/2,y+1/2,z'
'-x+1/2,-y+1/2,-z'
'-x+1/2,y+1/2,-z'
'x+1/2,-y+1/2,z'
loop_
_atom_site_label
_atom_site_fract_x
_atom_site_fract_y
_atom_site_fract_z
Ca1 0.1393 0.0000 0.3952
Pu1 0.1689 0.5000 0.0345
Th1 0.0644 0.5000 0.8047
# Excess energy over the best structure of this formula in the dataset = 0 meV per atom
# Total DFT energy (no corrections) = -93.49 eV for the cell shown
# Density = 9.5 g/cm3

# Tb2Zn3Ni4 | Alexandria | PBE | optimized geometry
data_Tb2Zn3Ni4
_chemical_formula_sum 'Tb8 Zn12 Ni16'
_symmetry_space_group_name_H-M 'C m c e'
_symmetry_Int_Tables_number 64
_symmetry_space_group_name_Hall '-C 2ac 2'
_cell_length_a 5.2880
_cell_length_b 15.1867
_cell_length_c 7.0664
_cell_angle_alpha 90.00
_cell_angle_beta 90.00
_cell_angle_gamma 90.00
loop_
_atom_site_label
_atom_site_fract_x
_atom_site_fract_y
_atom_site_fract_z
Tb1 0.0000 0.1084 0.0832
Zn1 0.0000 0.0000 0.5000
Zn2 0.2500 0.2329 0.7500
Ni1 0.0000 0.1685 0.4870
Ni2 0.2500 0.0700 0.7500
# Total DFT energy (no corrections) = -158.45 eV for the cell shown
# Density = 8.8 g/cm3

# BaMg4Tl6 | Alexandria | PBE | optimized geometry
data_BaMg4Tl6
_chemical_formula_sum 'Ba1 Mg4 Tl6'
_symmetry_space_group_name_H-M 'P -6 m 2'
_symmetry_Int_Tables_number 187
_symmetry_space_group_name_Hall 'P -6 2'
_cell_length_a 8.7520
_cell_length_b 8.7520
_cell_length_c 4.8283
_cell_angle_alpha 90.00
_cell_angle_beta 90.00
_cell_angle_gamma 120.00
loop_
_atom_site_label
_atom_site_fract_x
_atom_site_fract_y
_atom_site_fract_z
Ba1 0.0000 0.0000 0.0000
Mg1 0.3333 0.6667 0.0000
Mg2 0.4228 0.2114 0.5000
Tl1 0.1968 0.3937 0.5000
Tl2 0.5326 0.0652 0.0000
# Total DFT energy (no corrections) = -23.63 eV for the cell shown
# Density = 7.6 g/cm3

# PaTi2Zn9 | Alexandria | PBE | optimized geometry
data_PaTi2Zn9
_chemical_formula_sum 'Pa2 Ti4 Zn18'
_symmetry_space_group_name_H-M 'P 4/m b m'
_symmetry_Int_Tables_number 127
_symmetry_space_group_name_Hall '-P 4 2ab'
_cell_length_a 8.5495
_cell_length_b 8.5495
_cell_length_c 5.2432
_cell_angle_alpha 90.00
_cell_angle_beta 90.00
_cell_angle_gamma 90.00
loop_
_atom_site_label
_atom_site_fract_x
_atom_site_fract_y
_atom_site_fract_z
Pa1 0.0000 0.0000 0.0000
Ti1 0.1197 0.3803 0.0000
Zn1 0.0000 0.5000 0.5000
Zn2 0.0649 0.2062 0.5000
Zn3 0.1766 0.6766 0.2290
# Total DFT energy (no corrections) = -76.59 eV for the cell shown
# Density = 7.9 g/cm3

# TiAl2Ru3 | Alexandria | PBE | optimized geometry
data_TiAl2Ru3
_chemical_formula_sum 'Ti1 Al2 Ru3'
_symmetry_space_group_name_H-M 'P 4/m m m'
_symmetry_Int_Tables_number 123
_symmetry_space_group_name_Hall '-P 4 2'
_cell_length_a 3.0482
_cell_length_b 3.0482
_cell_length_c 8.9967
_cell_angle_alpha 90.00
_cell_angle_beta 90.00
_cell_angle_gamma 90.00
loop_
_atom_site_label
_atom_site_fract_x
_atom_site_fract_y
_atom_site_fract_z
Ti1 0.0000 0.0000 0.0000
Al1 0.0000 0.0000 0.3369
Ru1 0.5000 0.5000 0.1685
Ru2 0.5000 0.5000 0.5000
# Total DFT energy (no corrections) = -47.55 eV for the cell shown
# Density = 8.0 g/cm3

# LaPr6In2 | Alexandria | PBE | optimized geometry
data_LaPr6In2
_chemical_formula_sum 'La2 Pr12 In4'
_symmetry_space_group_name_H-M 'C 1 2/m 1'
_symmetry_Int_Tables_number 12
_cell_length_a 11.4092
_cell_length_b 4.9643
_cell_length_c 10.8086
_cell_angle_alpha 90.00
_cell_angle_beta 109.00
_cell_angle_gamma 90.00
loop_
_symmetry_equiv_pos_as_xyz
'x,y,z'
'-x,-y,-z'
'-x,y,-z'
'x,-y,z'
'x+1/2,y+1/2,z'
'-x+1/2,-y+1/2,-z'
'-x+1/2,y+1/2,-z'
'x+1/2,-y+1/2,z'
loop_
_atom_site_label
_atom_site_fract_x
_atom_site_fract_y
_atom_site_fract_z
La1 0.0000 0.0000 0.0000
Pr1 0.0099 0.0000 0.6757
Pr2 0.1706 0.5000 0.8891
Pr3 0.1718 0.5000 0.5509
In1 0.1631 0.5000 0.2196
# Excess energy over the best structure of this formula in the dataset = 0 meV per atom
# Total DFT energy (no corrections) = -82.18 eV for the cell shown
# Density = 7.0 g/cm3